# 1
{
  "formula": "Hf6HgIr",
  "functional": "PBE-GGA",
  "state": "optimized geometry",
  "lattice_angstrom": [[4.797, 2.770, 2.294], [-4.797, 2.770, 2.294], [0.000, -5.539, 2.294]],
  "species": ["Hf", "Hf", "Hf", "Hf", "Hf", "Hf", "Hg", "Ir"],
  "frac_coords": [[0.226, 0.226, 0.673], [0.226, 0.673, 0.226], [0.327, 0.774, 0.774], [0.673, 0.226, 0.226], [0.774, 0.327, 0.774], [0.774, 0.774, 0.327], [0.000, 0.000, 0.000], [0.500, 0.500, 0.500]],
  "total_energy_ev_per_atom": -8.532,
  "ef_ev_per_fu": 0.625,
  "space_group": "R-3m"
}

---

# 2
{
  "formula": "Hf2HgIr",
  "functional": "PBE-GGA",
  "state": "optimized geometry",
  "lattice_angstrom": [[3.277, 0.000, 0.000], [0.000, 3.277, 0.000], [0.000, 0.000, 7.238]],
  "species": ["Hf", "Hf", "Hg", "Ir"],
  "frac_coords": [[0.000, 0.000, 0.223], [0.000, 0.000, 0.777], [0.500, 0.500, 0.500], [0.500, 0.500, 0.000]],
  "total_energy_ev_per_atom": -7.732,
  "ef_ev_per_fu": -1.858,
  "space_group": "P4/mmm"
}

---

# 3
{
  "formula": "Hf2HgIr",
  "functional": "PBE-GGA",
  "state": "optimized geometry",
  "lattice_angstrom": [[-3.850, 3.850, 2.890], [3.850, -3.850, 2.890], [3.850, 3.850, -2.890]],
  "species": ["Hf", "Hf", "Hf", "Hf", "Hg", "Hg", "Ir", "Ir"],
  "frac_coords": [[0.078, 0.125, 0.453], [0.375, 0.922, 0.047], [0.672, 0.625, 0.547], [0.875, 0.328, 0.953], [0.250, 0.750, 0.500], [0.500, 0.500, 0.000], [0.000, 0.000, 0.000], [0.750, 0.250, 0.500]],
  "total_energy_ev_per_atom": -7.299,
  "ef_ev_per_fu": -0.128,
  "space_group": "I-42d"
}

---

# 4
{
  "formula": "HfHgIr",
  "functional": "PBE-GGA",
  "state": "optimized geometry",
  "lattice_angstrom": [[4.944, 0.000, 0.000], [0.000, 2.495, 4.563], [0.000, -2.495, 4.563]],
  "species": ["Hf", "Hf", "Hg", "Hg", "Ir", "Ir"],
  "frac_coords": [[0.250, 0.233, 0.767], [0.750, 0.767, 0.233], [0.250, 0.919, 0.453], [0.750, 0.453, 0.919], [0.250, 0.585, 0.148], [0.750, 0.148, 0.585]],
  "total_energy_ev_per_atom": -6.776,
  "ef_ev_per_fu": -1.212,
  "e_above_lowest_polymorph_mev_per_atom": 0,
  "space_group": "Ama2"
}

---

# 5
{
  "formula": "Hf2HgIr2",
  "functional": "PBE-GGA",
  "state": "optimized geometry",
  "lattice_angstrom": [[7.920, 0.000, 0.000], [0.000, 7.920, 0.000], [0.000, 0.000, 3.093]],
  "species": ["Hf", "Hf", "Hf", "Hf", "Hg", "Hg", "Ir", "Ir", "Ir", "Ir"],
  "frac_coords": [[0.150, 0.350, 0.000], [0.350, 0.850, 0.000], [0.650, 0.150, 0.000], [0.850, 0.650, 0.000], [0.000, 0.000, 0.000], [0.500, 0.500, 0.000], [0.137, 0.637, 0.500], [0.363, 0.137, 0.500], [0.637, 0.863, 0.500], [0.863, 0.363, 0.500]],
  "total_energy_ev_per_atom": -8.083,
  "ef_ev_per_fu": -2.482,
  "e_above_lowest_polymorph_mev_per_atom": 165,
  "space_group": "P4/mbm"
}

---

# 6
{
  "formula": "Hf2HgIr2",
  "functional": "PBE-GGA",
  "state": "optimized geometry",
  "lattice_angstrom": [[-2.224, 2.224, 5.407], [2.224, -2.224, 5.407], [2.224, 2.224, -5.407]],
  "species": ["Hf", "Hf", "Hg", "Ir", "Ir"],
  "frac_coords": [[0.250, 0.750, 0.500], [0.750, 0.250, 0.500], [0.000, 0.000, 0.000], [0.383, 0.383, 0.000], [0.617, 0.617, 0.000]],
  "total_energy_ev_per_atom": -8.061,
  "ef_ev_per_fu": -2.376,
  "e_above_lowest_polymorph_mev_per_atom": 186,
  "space_group": "I4/mmm"
}

---

# 7
{
  "formula": "HfHgIr",
  "functional": "PBE-GGA",
  "state": "optimized geometry",
  "lattice_angstrom": [[-1.754, 1.754, 4.588], [1.754, -1.754, 4.588], [1.754, 1.754, -4.588]],
  "species": ["Hf", "Hg", "Ir"],
  "frac_coords": [[0.000, 0.000, 0.000], [0.686, 0.686, 0.000], [0.368, 0.368, 0.000]],
  "total_energy_ev_per_atom": -6.770,
  "ef_ev_per_fu": -1.194,
  "e_above_lowest_polymorph_mev_per_atom": 6,
  "space_group": "I4mm"
}

---

# 8
{
  "formula": "HfHg2Ir",
  "functional": "PBE-GGA",
  "state": "optimized geometry",
  "lattice_angstrom": [[0.000, 3.343, 3.343], [3.343, 0.000, 3.343], [3.343, 3.343, 0.000]],
  "species": ["Hf", "Hg", "Hg", "Ir"],
  "frac_coords": [[0.000, 0.000, 0.000], [0.250, 0.250, 0.250], [0.750, 0.750, 0.750], [0.500, 0.500, 0.500]],
  "total_energy_ev_per_atom": -4.781,
  "ef_ev_per_fu": 0.292,
  "e_above_lowest_polymorph_mev_per_atom": 0,
  "space_group": "Fm-3m"
}

---

# 9
{
  "formula": "HfHg2Ir",
  "functional": "PBE-GGA",
  "state": "optimized geometry",
  "lattice_angstrom": [[-3.950, 3.950, 2.726], [3.950, -3.950, 2.726], [3.950, 3.950, -2.726]],
  "species": ["Hf", "Hf", "Hg", "Hg", "Hg", "Hg", "Ir", "Ir"],
  "frac_coords": [[0.000, 0.000, 0.000], [0.750, 0.250, 0.500], [0.147, 0.625, 0.022], [0.375, 0.397, 0.522], [0.603, 0.125, 0.978], [0.875, 0.853, 0.478], [0.250, 0.750, 0.500], [0.500, 0.500, 0.000]],
  "total_energy_ev_per_atom": -4.472,
  "ef_ev_per_fu": 1.529,
  "e_above_lowest_polymorph_mev_per_atom": 309,
  "space_group": "I-42d"
}

---

# 10
{
  "formula": "Hf2HgIr2",
  "functional": "PBE-GGA",
  "state": "optimized geometry",
  "lattice_angstrom": [[7.804, 0.000, 0.000], [0.000, 7.804, 0.000], [0.000, 0.000, 3.104]],
  "species": ["Hf", "Hf", "Hf", "Hf", "Hg", "Hg", "Ir", "Ir", "Ir", "Ir"],
  "frac_coords": [[0.157, 0.343, 0.000], [0.343, 0.843, 0.000], [0.657, 0.157, 0.000], [0.843, 0.657, 0.000], [0.000, 0.000, 0.500], [0.500, 0.500, 0.500], [0.136, 0.636, 0.500], [0.364, 0.136, 0.500], [0.636, 0.864, 0.500], [0.864, 0.364, 0.500]],
  "total_energy_ev_per_atom": -8.248,
  "ef_ev_per_fu": -3.308,
  "e_above_lowest_polymorph_mev_per_atom": 0,
  "space_group": "P4/mbm"
}

---

# 11
{
  "formula": "HfHgIr2",
  "functional": "PBE-GGA",
  "state": "optimized geometry",
  "lattice_angstrom": [[-3.658, 3.658, 2.881], [3.658, -3.658, 2.881], [3.658, 3.658, -2.881]],
  "species": ["Hf", "Hf", "Hg", "Hg", "Ir", "Ir", "Ir", "Ir"],
  "frac_coords": [[0.000, 0.000, 0.000], [0.750, 0.250, 0.500], [0.250, 0.750, 0.500], [0.500, 0.500, 0.000], [0.103, 0.625, 0.978], [0.375, 0.353, 0.478], [0.647, 0.125, 0.022], [0.875, 0.897, 0.522]],
  "total_energy_ev_per_atom": -6.840,
  "ef_ev_per_fu": 0.617,
  "space_group": "I-42d"
}

---

# 12
{
  "formula": "LaHfHgIr2",
  "functional": "PBE-GGA",
  "state": "optimized geometry",
  "lattice_angstrom": [[4.864, 0.000, 0.000], [0.000, 4.864, 0.000], [0.000, 0.000, 5.801]],
  "species": ["La", "Hf", "Hg", "Ir", "Ir"],
  "frac_coords": [[0.000, 0.000, 0.000], [0.000, 0.000, 0.500], [0.500, 0.500, 0.000], [0.000, 0.500, 0.500], [0.500, 0.000, 0.500]],
  "total_energy_ev_per_atom": -5.800,
  "ef_ev_per_fu": 3.904,
  "space_group": "P4/mmm"
}

---

# 13
{
  "formula": "LiHfHg2Ir",
  "functional": "PBE-GGA",
  "state": "optimized geometry",
  "lattice_angstrom": [[4.464, 0.000, 0.000], [0.000, 4.464, 0.000], [0.000, 0.000, 4.576]],
  "species": ["Li", "Hf", "Hg", "Hg", "Ir"],
  "frac_coords": [[0.000, 0.000, 0.000], [0.500, 0.500, 0.500], [0.000, 0.500, 0.000], [0.500, 0.000, 0.000], [0.000, 0.000, 0.500]],
  "total_energy_ev_per_atom": -3.867,
  "ef_ev_per_fu": 1.995,
  "space_group": "P4/mmm"
}

---

# 14
{
  "formula": "LuHfHgIr",
  "functional": "PBE-GGA",
  "state": "optimized geometry",
  "lattice_angstrom": [[0.000, 3.435, 3.435], [3.435, 0.000, 3.435], [3.435, 3.435, 0.000]],
  "species": ["Lu", "Hf", "Hg", "Ir"],
  "frac_coords": [[0.000, 0.000, 0.000], [0.500, 0.500, 0.500], [0.750, 0.750, 0.750], [0.250, 0.250, 0.250]],
  "total_energy_ev_per_atom": -6.394,
  "ef_ev_per_fu": -1.937,
  "space_group": "F-43m"
}

---

# 15
{
  "formula": "HfNbHg2Ir",
  "functional": "PBE-GGA",
  "state": "optimized geometry",
  "lattice_angstrom": [[5.092, 0.000, 0.000], [0.000, 5.092, 0.000], [0.000, 0.000, 4.805]],
  "species": ["Hf", "Nb", "Hg", "Hg", "Ir"],
  "frac_coords": [[0.000, 0.000, 0.000], [0.500, 0.500, 0.000], [0.000, 0.500, 0.500], [0.500, 0.000, 0.500], [0.500, 0.500, 0.500]],
  "total_energy_ev_per_atom": -4.947,
  "ef_ev_per_fu": 4.754,
  "space_group": "P4/mmm"
}

---

# 16
{
  "formula": "HfHgIrOs2",
  "functional": "PBE-GGA",
  "state": "optimized geometry",
  "lattice_angstrom": [[4.758, 0.000, 0.000], [0.000, 4.758, 0.000], [0.000, 0.000, 4.929]],
  "species": ["Hf", "Hg", "Ir", "Os", "Os"],
  "frac_coords": [[0.000, 0.000, 0.000], [0.500, 0.500, 0.000], [0.000, 0.000, 0.500], [0.000, 0.500, 0.500], [0.500, 0.000, 0.500]],
  "total_energy_ev_per_atom": -6.923,
  "ef_ev_per_fu": 6.959,
  "space_group": "P4/mmm"
}

---

# 17
{
  "formula": "RbHf2HgIr",
  "functional": "PBE-GGA",
  "state": "optimized geometry",
  "lattice_angstrom": [[4.955, 0.000, 0.000], [0.000, 4.955, 0.000], [0.000, 0.000, 5.205]],
  "species": ["Rb", "Hf", "Hf", "Hg", "Ir"],
  "frac_coords": [[0.000, 0.000, 0.000], [0.000, 0.500, 0.000], [0.500, 0.000, 0.000], [0.000, 0.000, 0.500], [0.500, 0.500, 0.500]],
  "total_energy_ev_per_atom": -3.352,
  "ef_ev_per_fu": 13.275,
  "space_group": "P4/mmm"
}

---

# 18
{
  "formula": "HfHgIrRh2",
  "functional": "PBE-GGA",
  "state": "optimized geometry",
  "lattice_angstrom": [[4.777, 0.000, 0.000], [0.000, 4.777, 0.000], [0.000, 0.000, 5.066]],
  "species": ["Hf", "Hg", "Ir", "Rh", "Rh"],
  "frac_coords": [[0.000, 0.000, 0.000], [0.000, 0.000, 0.500], [0.500, 0.500, 0.000], [0.000, 0.500, 0.500], [0.500, 0.000, 0.500]],
  "total_energy_ev_per_atom": -4.972,
  "ef_ev_per_fu": 8.961,
  "space_group": "P4/mmm"
}

---

# 19
{
  "formula": "HfScHgIr",
  "functional": "PBE-GGA",
  "state": "optimized geometry",
  "lattice_angstrom": [[0.000, 3.375, 3.375], [3.375, 0.000, 3.375], [3.375, 3.375, 0.000]],
  "species": ["Hf", "Sc", "Hg", "Ir"],
  "frac_coords": [[0.000, 0.000, 0.000], [0.500, 0.500, 0.500], [0.250, 0.250, 0.250], [0.750, 0.750, 0.750]],
  "total_energy_ev_per_atom": -6.862,
  "ef_ev_per_fu": -1.998,
  "space_group": "F-43m"
}

---

# 20
{
  "formula": "TbHfHgIr",
  "functional": "PBE-GGA",
  "state": "optimized geometry",
  "lattice_angstrom": [[0.000, 3.476, 3.476], [3.476, 0.000, 3.476], [3.476, 3.476, 0.000]],
  "species": ["Tb", "Hf", "Hg", "Ir"],
  "frac_coords": [[0.000, 0.000, 0.000], [0.500, 0.500, 0.500], [0.250, 0.250, 0.250], [0.750, 0.750, 0.750]],
  "total_energy_ev_per_atom": -6.345,
  "ef_ev_per_fu": -1.633,
  "space_group": "F-43m"
}